(1)
The following is a DFT calculation (PBE) of an optimized crystal structure of CaTbCuPt.

Computed properties:
The calculation puts the total energy at -4.88 eV per atom. The value obtained for the energy of formation from the pure elements is -0.687 eV per atom. The calculation puts the energy above the most stable polymorph in this dataset at 0.0000 eV per atom.

a b c (Å): 4.2818 3.9209 10.8985
angles (deg): 90.00 90.00 90.00
Last column: nearest neighbours and their distance in Å.
Space group Amm2 (No. 38)
Inequivalent atoms, fractional coordinates:
Ca (0.0000, 0.0000, 0.0000) (multiplicity 2)  4 Cu 3.01, 3 Pt 3.04-3.11
Tb (0.5000, 0.0000, 0.2796) (multiplicity 2)  4 Pt 2.97, 3 Cu 2.98-3.21
Cu (0.5000, 0.0000, 0.5742) (multiplicity 2)  2 Pt 2.67, 2 Tb 2.98
Pt (0.0000, 0.0000, 0.7210) (multiplicity 2)  2 Cu 2.67, 4 Tb 2.97



(2)
The following is a DFT calculation (PBE) of an optimized crystal structure of In8Sn5Hg.

Computed properties:
The calculation puts the total energy at -2.96 eV per atom. The value obtained for the energy of formation from the pure elements is 0.053 eV per atom.

a b c (Å): 9.2368 9.2368 9.2233
angles (deg): 90.00 90.00 90.00
Last column: nearest neighbours and their distance in Å.
Space group I-4 (No. 82)
Inequivalent atoms, fractional coordinates:
In (0.0657, 0.1661, 0.1820) (multiplicity 8)  5 Sn 3.21-3.35, 3 In 3.30-3.49, 1 Hg 3.37
In (0.0935, 0.3210, 0.5261) (multiplicity 8)  1 Hg 3.10, 5 Sn 3.10-3.23, 1 In 3.46
Sn (0.0000, 0.5000, 0.2500) (multiplicity 2)  8 In 3.16-3.21
Sn (0.1249, 0.2782, 0.8581) (multiplicity 8)  8 In 3.10-3.35
Hg (0.0000, 0.0000, 0.5000) (multiplicity 2)  8 In 3.10-3.37



(3)
The following is a DFT calculation (PBE) of an optimized crystal structure of BaAlW2.

Computed properties:
The calculation puts the total energy at -6.37 eV per atom. The value obtained for the energy of formation from the pure elements is 1.521 eV per atom.

a b c (Å): 4.1915 4.1915 4.7844
angles (deg): 90.00 90.00 90.00
Last column: nearest neighbours and their distance in Å.
Space group P4/mmm (No. 123)
Inequivalent atoms, fractional coordinates:
Ba (0.0000, 0.0000, 0.0000) (multiplicity 1)  4 Al 2.96, 8 W 3.18
Al (0.5000, 0.5000, 0.0000) (multiplicity 1)  4 Ba 2.96, 8 W 3.18
W (0.0000, 0.5000, 0.5000) (multiplicity 2)  4 W 2.96, 4 Ba 3.18, 4 Al 3.18



Among the records above, which one has the highest energy of formation from the pure elements?
BaAlW2



energy of formation from the pure elements of number 3 (BaAlW2)?
1.521 eV per atom